Below is crystalline BaCaGa2Ni at its relaxed geometry, with properties calculated at the GGA-PBE level.

abc: 4.849 4.849 5.214
angles: 90.00 90.00 90.00
Fractional positions:
Ba1 0.000 0.000 0.000
Ca1 0.500 0.500 0.000
Ga1 0.000 0.500 0.500
Ga2 0.500 0.000 0.500
Ni1 0.500 0.500 0.500

Values from the calculation:
* DOS at the Fermi energy: 2.8 states/eV/cell
* E_tot: -3.413 eV per atom